GaNi2Se | GGA-PBE | optimized geometry

Lattice parameters (Å, degrees): 4.097 4.097 15.014 90.00 90.00 90.00
Space group I-42d (No. 122)
Symmetry-distinct sites (fractional):
Ga 0.000 0.000 0.000 [4 per cell]
Ni 0.221 0.250 0.625 [8 per cell]
Se 0.000 0.000 0.500 [4 per cell]

- Raw total energy: -18.3 eV per formula unit
- Uncorrected formation energy: -61.6 meV/atom